[1]
Here is an optimized crystal structure of Ac2LaSmBi4 from Alexandria. Energies are from PBE.

Cell: 4.7610 8.2416 8.2364 Å, 70.55 90.00 90.00°
Fractional positions:
Ac: 0.0000 0.0000 0.0000
Ac: 0.5000 0.0000 0.5000
La: 0.5000 0.5000 0.0000
Sm: 0.0000 0.5000 0.5000
Bi: 0.0000 0.7370 0.7509
Bi: 0.0000 0.2630 0.2491
Bi: 0.5000 0.7350 0.2582
Bi: 0.5000 0.2650 0.7418

***

[2]
Here is an optimized crystal structure of AcLaSm2Bi4 from Alexandria. Energies are from PBE.

Cell: 4.6805 8.0985 8.1024 Å, 70.53 90.00 90.00°
Fractional positions:
Ac: 0.5000 0.5000 0.0000
La: 0.0000 0.5000 0.5000
Sm: 0.0000 0.0000 0.0000
Sm: 0.5000 0.0000 0.5000
Bi: 0.0000 0.7642 0.7407
Bi: 0.0000 0.2358 0.2593
Bi: 0.5000 0.7608 0.2509
Bi: 0.5000 0.2392 0.7491

***

Energy, record by record: -41.287; -41.741 eV/cell
Size of the total moment, record by record: 0.0; 0.0 Bohr magnetons per cell